# AgSbOs2 | Alexandria | GGA-PBE | optimized geometry
data_AgSbOs2
_cell_length_a 2.917
_cell_length_b 2.917
_cell_length_c 8.584
_cell_angle_alpha 90.00
_cell_angle_beta 90.00
_cell_angle_gamma 90.00
_space_group_name_H-M_alt 'P 4 m m'
_space_group_IT_number 99
_space_group_name_Hall 'P 4 -2'
loop_
_atom_site_label
_atom_site_type_symbol
_atom_site_fract_x
_atom_site_fract_y
_atom_site_fract_z
_atom_site_occupancy
Ag1 Ag 0.000 0.000 0.000 1
Sb1 Sb 0.500 0.500 0.675 1
Os1 Os 0.000 0.000 0.427 1
Os2 Os 0.500 0.500 0.241 1
# Uncorrected energy (eV per atom): -6.90
# Magnetic moment (μB per formula unit): 0.00